1) DFT (PBE) results for Pa5Ag after structural relaxation.

Results
- symmetry = No. 65
- magnetization (Bohr magnetons per cell) = 0.0
- ρ (Mg/m³) = 14.58

Lattice parameters (Å, degrees): 3.2056 5.4800 8.6371 108.50 90.00 90.00
Last column: nearest neighbours and their distance in Å.
Fractional coordinates of all 6 atoms:
Pa  0.5000  0.1680  0.3361  8 Pa 3.18-3.21, 2 Ag 3.19
Pa  0.5000  0.5000  0.0000  6 Pa 3.11-3.21, 4 Ag 3.17
Ag  0.0000  0.0000  0.0000  8 Pa 3.17-3.19, 2 Ag 3.21
Pa  0.0000  0.3375  0.6750  10 Pa 3.11-3.21
Pa  0.5000  0.8320  0.6639  8 Pa 3.18-3.21, 2 Ag 3.19
Pa  0.0000  0.6625  0.3250  10 Pa 3.11-3.21

=====

2) DFT (PBE) results for Pa5Ag after structural relaxation.

Results
- symmetry = No. 65
- magnetization (Bohr magnetons per cell) = 0.0
- ρ (Mg/m³) = 14.58

Lattice parameters (Å, degrees): 4.3680 4.8123 7.2537 109.37 90.00 90.00
Last column: nearest neighbours and their distance in Å.
Fractional coordinates of all 6 atoms:
Pa  0.5000  0.8368  0.6735  2 Ag 3.12, 10 Pa 3.21-3.38
Ag  0.0000  0.0000  0.0000  12 Pa 3.12-3.30
Pa  0.0000  0.3355  0.6710  10 Pa 3.14-3.36, 2 Ag 3.30
Pa  0.0000  0.6645  0.3290  10 Pa 3.14-3.36, 2 Ag 3.30
Pa  0.5000  0.1632  0.3265  2 Ag 3.12, 10 Pa 3.21-3.38
Pa  0.5000  0.5000  0.0000  8 Pa 3.14-3.28, 4 Ag 3.25

=====

1) (0.097 eV/atom below the next structure)

=====

1) DFT (PBE) results for Pa2AgPt after structural relaxation.

Results
- symmetry = No. 123
- magnetization (Bohr magnetons per cell) = 0.0
- ρ (Mg/m³) = 14.00

Lattice parameters (Å, degrees): 3.7378 3.7378 6.4967 90.00 90.00 90.00
Last column: nearest neighbours and their distance in Å.
Fractional coordinates of all 4 atoms:
Ag  0.5000  0.5000  0.5000  8 Pa 3.22, 2 Pt 3.25
Pa  0.0000  0.0000  0.2175  1 Pa 2.83, 4 Pt 3.00
Pt  0.5000  0.5000  0.0000  8 Pa 3.00, 2 Ag 3.25
Pa  0.0000  0.0000  0.7825  1 Pa 2.83, 4 Pt 3.00

=====

2) DFT (PBE) results for Pa2AgPt after structural relaxation.

Results
- symmetry = No. 123
- magnetization (Bohr magnetons per cell) = 0.0
- ρ (Mg/m³) = 14.89

Lattice parameters (Å, degrees): 4.3345 4.4362 4.4362 90.00 90.00 90.00
Last column: nearest neighbours and their distance in Å.
Fractional coordinates of all 4 atoms:
Ag  0.5000  0.0000  0.0000  8 Pa 3.10, 4 Pt 3.14
Pa  0.0000  0.5000  0.0000  4 Pt 3.10, 4 Ag 3.10, 4 Pa 3.14
Pa  0.0000  0.0000  0.5000  4 Pt 3.10, 4 Ag 3.10, 4 Pa 3.14
Pt  0.5000  0.5000  0.5000  8 Pa 3.10, 4 Ag 3.14

=====

3) DFT (PBE) results for Pa2AgPt after structural relaxation.

Results
- symmetry = No. 166
- magnetization (Bohr magnetons per cell) = 0.8
- ρ (Mg/m³) = 13.95

Lattice parameters (Å, degrees): 3.0864 3.0864 11.1834 82.07 82.07 60.00
Last column: nearest neighbours and their distance in Å.
Fractional coordinates of all 4 atoms:
Pt  0.5000  0.5000  0.5000  6 Pa 3.02, 6 Pt 3.09
Ag  0.0000  0.0000  0.0000  6 Ag 3.09, 2 Pa 3.09
Pa  0.9068  0.9068  0.2796  3 Pt 3.02, 6 Pa 3.09, 1 Ag 3.09
Pa  0.0932  0.0932  0.7204  3 Pt 3.02, 6 Pa 3.09, 1 Ag 3.09

=====

2) (0.046 eV/atom below the next structure)

=====

1) DFT (PBE) results for PuPaAgPt after structural relaxation.

Results
- symmetry = No. 216
- magnetization (Bohr magnetons per cell) = 6.8
- ρ (Mg/m³) = 14.26

Lattice parameters (Å, degrees): 5.0411 5.0411 5.0411 60.00 60.00 60.00
Last column: nearest neighbours and their distance in Å.
Fractional coordinates of all 4 atoms:
Ag  0.2500  0.2500  0.2500  4 Pa 3.09, 4 Pu 3.09
Pt  0.7500  0.7500  0.7500  4 Pa 3.09, 4 Pu 3.09
Pa  0.0000  0.0000  0.0000  4 Pt 3.09, 4 Ag 3.09
Pu  0.5000  0.5000  0.5000  4 Pt 3.09, 4 Ag 3.09

=====

2) DFT (PBE) results for PuPaAgPt after structural relaxation.

Results
- symmetry = No. 216
- magnetization (Bohr magnetons per cell) = 6.0
- ρ (Mg/m³) = 15.98

Lattice parameters (Å, degrees): 4.8538 4.8538 4.8538 60.00 60.00 60.00
Last column: nearest neighbours and their distance in Å.
Fractional coordinates of all 4 atoms:
Pa  0.0000  0.0000  0.0000  4 Pt 2.97, 4 Pu 2.97
Pu  0.2500  0.2500  0.2500  4 Pa 2.97, 4 Ag 2.97
Ag  0.5000  0.5000  0.5000  4 Pu 2.97, 4 Pt 2.97
Pt  0.7500  0.7500  0.7500  4 Ag 2.97, 4 Pa 2.97

=====

2) (0.231 eV/atom below the next structure)

=====

1) DFT (PBE) results for PuPaAg2 after structural relaxation.

Results
- symmetry = No. 123
- magnetization (Bohr magnetons per cell) = 7.0
- ρ (Mg/m³) = 12.94

Lattice parameters (Å, degrees): 4.8237 4.2866 4.2866 90.00 90.00 90.00
Last column: nearest neighbours and their distance in Å.
Fractional coordinates of all 4 atoms:
Ag  0.0000  0.0000  0.5000  4 Ag 3.03, 4 Pa 3.23, 4 Pu 3.23
Ag  0.0000  0.5000  0.0000  4 Ag 3.03, 4 Pu 3.23, 4 Pa 3.23
Pa  0.5000  0.0000  0.0000  4 Pu 3.03, 8 Ag 3.23
Pu  0.5000  0.5000  0.5000  4 Pa 3.03, 8 Ag 3.23

=====

2) DFT (PBE) results for PuPaAg2 after structural relaxation.

Results
- symmetry = No. 166
- magnetization (Bohr magnetons per cell) = 5.1
- ρ (Mg/m³) = 12.71

Lattice parameters (Å, degrees): 2.9725 2.9725 11.9169 82.84 82.84 60.00
Last column: nearest neighbours and their distance in Å.
Fractional coordinates of all 4 atoms:
Pu  0.5000  0.5000  0.5000  6 Pu 2.97, 6 Ag 3.26
Ag  0.0884  0.0884  0.7348  6 Ag 2.97, 1 Pa 3.13, 3 Pu 3.26
Ag  0.9116  0.9116  0.2652  6 Ag 2.97, 1 Pa 3.13, 3 Pu 3.26
Pa  0.0000  0.0000  0.0000  6 Pa 2.97, 2 Ag 3.13

=====

1) (0.235 eV/atom below the next structure)

=====

1) DFT (PBE) results for Pu2PaAg after structural relaxation.

Results
- symmetry = No. 123
- magnetization (Bohr magnetons per cell) = 11.0
- ρ (Mg/m³) = 14.45

Lattice parameters (Å, degrees): 3.4011 3.4011 8.2142 90.00 90.00 90.00
Last column: nearest neighbours and their distance in Å.
Fractional coordinates of all 4 atoms:
Pa  0.5000  0.5000  0.5000  8 Pu 3.14, 4 Pa 3.40
Ag  0.5000  0.5000  0.0000  8 Pu 3.19, 4 Ag 3.40
Pu  0.0000  0.0000  0.2543  4 Pa 3.14, 4 Ag 3.19, 4 Pu 3.40
Pu  0.0000  0.0000  0.7457  4 Pa 3.14, 4 Ag 3.19, 4 Pu 3.40

=====

2) DFT (PBE) results for Pu2PaAg after structural relaxation.

Results
- symmetry = No. 225
- magnetization (Bohr magnetons per cell) = 13.5
- ρ (Mg/m³) = 14.62

Lattice parameters (Å, degrees): 5.1018 5.1018 5.1018 60.00 60.00 60.00
Last column: nearest neighbours and their distance in Å.
Fractional coordinates of all 4 atoms:
Pu  0.2500  0.2500  0.2500  4 Pa 3.12, 4 Ag 3.12
Pa  0.0000  0.0000  0.0000  8 Pu 3.12
Ag  0.5000  0.5000  0.5000  8 Pu 3.12
Pu  0.7500  0.7500  0.7500  4 Pa 3.12, 4 Ag 3.12

=====

3) DFT (PBE) results for Pu2PaAg after structural relaxation.

Results
- symmetry = No. 123
- magnetization (Bohr magnetons per cell) = 12.6
- ρ (Mg/m³) = 14.09

Lattice parameters (Å, degrees): 4.8559 4.4794 4.4794 90.00 90.00 90.00
Last column: nearest neighbours and their distance in Å.
Fractional coordinates of all 4 atoms:
Ag  0.5000  0.0000  0.0000  4 Pa 3.17, 8 Pu 3.30
Pu  0.0000  0.5000  0.0000  4 Pu 3.17, 4 Pa 3.30, 4 Ag 3.30
Pu  0.0000  0.0000  0.5000  4 Pu 3.17, 4 Pa 3.30, 4 Ag 3.30
Pa  0.5000  0.5000  0.5000  4 Ag 3.17, 8 Pu 3.30

=====

1) (0.104 eV/atom below the next structure)

=====

1) DFT (PBE) results for Pa2AgRu after structural relaxation.

Results
- symmetry = No. 166
- magnetization (Bohr magnetons per cell) = 0.0
- ρ (Mg/m³) = 12.68

Lattice parameters (Å, degrees): 3.0749 3.0749 10.8767 81.87 81.87 60.00
Last column: nearest neighbours and their distance in Å.
Fractional coordinates of all 4 atoms:
Pa  0.0954  0.0954  0.7138  3 Ru 2.90, 1 Ag 3.07, 6 Pa 3.07
Ag  0.0000  0.0000  0.0000  2 Pa 3.07, 6 Ag 3.07
Ru  0.5000  0.5000  0.5000  6 Pa 2.90, 6 Ru 3.07
Pa  0.9046  0.9046  0.2862  3 Ru 2.90, 1 Ag 3.07, 6 Pa 3.07

=====

2) DFT (PBE) results for Pa2AgRu after structural relaxation.

Results
- symmetry = No. 123
- magnetization (Bohr magnetons per cell) = 0.0
- ρ (Mg/m³) = 13.16

Lattice parameters (Å, degrees): 3.1166 3.1166 8.7197 90.00 90.00 90.00
Last column: nearest neighbours and their distance in Å.
Fractional coordinates of all 4 atoms:
Ag  0.5000  0.5000  0.5000  4 Ag 3.12, 8 Pa 3.27
Pa  0.0000  0.0000  0.7777  4 Ru 2.94, 4 Pa 3.12, 4 Ag 3.27
Ru  0.5000  0.5000  0.0000  8 Pa 2.94, 4 Ru 3.12
Pa  0.0000  0.0000  0.2223  4 Ru 2.94, 4 Pa 3.12, 4 Ag 3.27

=====

2) (0.339 eV/atom below the next structure)